No. 1
# PrScZn4 PBE-GGA relaxed
data_PrScZn4
_cell_length_a 7.695
_cell_length_b 7.695
_cell_length_c 7.695
_cell_angle_alpha 90.00
_cell_angle_beta 90.00
_cell_angle_gamma 90.00
_space_group_name_H-M_alt 'F -4 3 m'
_space_group_IT_number 216
_space_group_name_Hall 'F -4 2 3'
loop_
_atom_site_label
_atom_site_fract_x
_atom_site_fract_y
_atom_site_fract_z
Pr1 0.000 0.000 0.000
Sc1 0.250 0.250 0.750
Zn1 0.124 0.124 0.376
# Calculated density = 6.52 g/cm³
# Raw total energy = -3.003 eV/atom
# Fermi-level density of states = 0.426 states/eV/atom
# Energy above the lowest structure with this stoichiometry = 0.34 eV/f.u.
# Crystal system = cubic

---

No. 2
# PrScZn PBE-GGA relaxed
data_PrScZn
_cell_length_a 4.8616
_cell_length_b 4.8616
_cell_length_c 3.7812
_cell_angle_alpha 90.00
_cell_angle_beta 90.00
_cell_angle_gamma 120.00
_space_group_name_H-M_alt 'P -6 m 2'
_space_group_IT_number 187
_space_group_name_Hall 'P -6 2'
loop_
_atom_site_label
_atom_site_fract_x
_atom_site_fract_y
_atom_site_fract_z
Pr1 0.0000 0.0000 0.0000
Sc1 0.3333 0.6667 0.5000
Zn1 0.6667 0.3333 0.5000
# Calculated density = 5.39 g/cm³
# Raw total energy = -4.204 eV/atom
# Fermi-level density of states = 1.676 states/eV/atom
# Energy above the lowest structure with this stoichiometry = 0.31 eV/f.u.
# Crystal system = hexagonal

---

No. 3
# PrZrSc2 PBE-GGA relaxed
data_PrZrSc2
_cell_length_a 3.3740
_cell_length_b 3.3740
_cell_length_c 32.2516
_cell_angle_alpha 90.00
_cell_angle_beta 90.00
_cell_angle_gamma 120.00
_space_group_name_H-M_alt 'R 3 m'
_space_group_IT_number 160
_space_group_name_Hall 'R 3 -2"'
loop_
_atom_site_label
_atom_site_fract_x
_atom_site_fract_y
_atom_site_fract_z
Pr1 0.0000 0.0000 0.0000
Zr1 0.0000 0.0000 0.1657
Sc1 0.0000 0.0000 0.4221
Sc2 0.0000 0.0000 0.5766
# Calculated density = 5.05 g/cm³
# Raw total energy = -6.440 eV/atom
# Fermi-level density of states = 1.391 states/eV/atom
# Energy above the lowest structure with this stoichiometry = 0.00 eV/f.u.
# Crystal system = trigonal

---

No. 4
# PrZr2Sc PBE-GGA relaxed
data_PrZr2Sc
_cell_length_a 3.824
_cell_length_b 3.824
_cell_length_c 7.127
_cell_angle_alpha 90.00
_cell_angle_beta 90.00
_cell_angle_gamma 90.00
_space_group_name_H-M_alt 'P 4/m m m'
_space_group_IT_number 123
_space_group_name_Hall '-P 4 2'
loop_
_atom_site_label
_atom_site_fract_x
_atom_site_fract_y
_atom_site_fract_z
Pr1 0.000 0.000 0.000
Zr1 0.500 0.500 0.288
Sc1 0.000 0.000 0.500
# Calculated density = 5.87 g/cm³
# Raw total energy = -6.863 eV/atom
# Fermi-level density of states = 1.666 states/eV/atom
# Energy above the lowest structure with this stoichiometry = 0.21 eV/f.u.
# Crystal system = tetragonal

---

No. 5
# PrZrSc2 PBE-GGA relaxed
data_PrZrSc2
_cell_length_a 3.830
_cell_length_b 3.830
_cell_length_c 7.289
_cell_angle_alpha 90.00
_cell_angle_beta 90.00
_cell_angle_gamma 90.00
_space_group_name_H-M_alt 'P 4/m m m'
_space_group_IT_number 123
_space_group_name_Hall '-P 4 2'
loop_
_atom_site_label
_atom_site_fract_x
_atom_site_fract_y
_atom_site_fract_z
Pr1 0.000 0.000 0.000
Zr1 0.000 0.000 0.500
Sc1 0.500 0.500 0.286
# Calculated density = 5.00 g/cm³
# Raw total energy = -6.396 eV/atom
# Fermi-level density of states = 1.877 states/eV/atom
# Energy above the lowest structure with this stoichiometry = 0.18 eV/f.u.
# Crystal system = tetragonal

---

No. 6
# PrZr6Sc12 PBE-GGA relaxed
data_PrZr6Sc12
_cell_length_a 12.5985
_cell_length_b 12.5985
_cell_length_c 10.7891
_cell_angle_alpha 90.00
_cell_angle_beta 90.00
_cell_angle_gamma 120.00
_space_group_name_H-M_alt 'R -3 m'
_space_group_IT_number 166
_space_group_name_Hall '-R 3 2"'
loop_
_atom_site_label
_atom_site_fract_x
_atom_site_fract_y
_atom_site_fract_z
Pr1 0.0000 0.0000 0.0000
Zr1 0.0025 0.5012 0.2660
Sc1 0.0000 0.3856 0.5000
Sc2 0.0946 0.1892 0.3503
# Calculated density = 4.12 g/cm³
# Raw total energy = -6.492 eV/atom
# Fermi-level density of states = 1.796 states/eV/atom
# Crystal system = trigonal

---

No. 7
# PrZr2Sc PBE-GGA relaxed
data_PrZr2Sc
_cell_length_a 3.3105
_cell_length_b 3.3105
_cell_length_c 32.6534
_cell_angle_alpha 90.00
_cell_angle_beta 90.00
_cell_angle_gamma 120.00
_space_group_name_H-M_alt 'R -3 m'
_space_group_IT_number 166
_space_group_name_Hall '-R 3 2"'
loop_
_atom_site_label
_atom_site_fract_x
_atom_site_fract_y
_atom_site_fract_z
Pr1 0.0000 0.0000 0.0000
Zr1 0.0000 0.0000 0.2460
Sc1 0.0000 0.0000 0.5000
# Calculated density = 5.92 g/cm³
# Raw total energy = -6.897 eV/atom
# Fermi-level density of states = 1.580 states/eV/atom
# Energy above the lowest structure with this stoichiometry = 0.07 eV/f.u.
# Crystal system = trigonal

---

No. 8
# PrZrSc2 PBE-GGA relaxed
data_PrZrSc2
_cell_length_a 4.761
_cell_length_b 4.761
_cell_length_c 4.620
_cell_angle_alpha 90.00
_cell_angle_beta 90.00
_cell_angle_gamma 90.00
_space_group_name_H-M_alt 'P 4/m m m'
_space_group_IT_number 123
_space_group_name_Hall '-P 4 2'
loop_
_atom_site_label
_atom_site_fract_x
_atom_site_fract_y
_atom_site_fract_z
Pr1 0.000 0.000 0.000
Zr1 0.500 0.500 0.000
Sc1 0.000 0.500 0.500
# Calculated density = 5.11 g/cm³
# Raw total energy = -6.401 eV/atom
# Fermi-level density of states = 1.434 states/eV/atom
# Energy above the lowest structure with this stoichiometry = 0.16 eV/f.u.
# Crystal system = tetragonal

---

Energy of formation (eV per formula unit)
-1.8, -0.2, 0.2, 0.8, 0.4, 8.7, 0.6, 0.4